! ScIr3 PBE-GGA relaxed; values from VASP
&SYSTEM
  ibrav = 0, nat = 16, ntyp = 2
/
ATOMIC_SPECIES
Sc 44.96 Sc.upf
Ir 192.22 Ir.upf
ATOMIC_POSITIONS angstrom
Sc 0.369 2.243 0.415
Sc 2.271 6.730 3.086
Sc 3.009 2.243 2.257
Sc 4.910 6.730 4.928
Ir 0.490 2.243 3.079
Ir 0.983 4.595 1.736
Ir 0.983 8.865 1.736
Ir 1.657 0.108 4.408
Ir 1.657 4.379 4.408
Ir 2.149 6.730 0.407
Ir 3.130 2.243 4.936
Ir 3.623 4.595 0.935
Ir 3.623 8.865 0.935
Ir 4.296 0.108 3.607
Ir 4.296 4.379 3.607
Ir 4.789 6.730 2.264
CELL_PARAMETERS angstrom
5.279 0.000 0.000
0.000 8.974 0.000
0.000 0.000 5.343
! - formation energy from the elements (meV per atom) = -553.8
! - magnetization (μB per atom) = 0.0000
! - space-group type = Pnma

! Nd5Se4 PBE-GGA relaxed; values from VASP
&SYSTEM
  ibrav = 0, nat = 18, ntyp = 2
/
ATOMIC_SPECIES
Nd 144.24 Nd.upf
Se 78.96 Se.upf
ATOMIC_POSITIONS angstrom
Nd -1.211 2.097 1.652
Nd -3.266 5.657 4.956
Nd 2.422 0.000 1.652
Nd 1.211 2.097 4.956
Nd 0.000 5.170 0.000
Nd 0.000 5.170 3.304
Nd 4.477 2.585 0.000
Nd 4.477 2.585 3.304
Nd 6.533 0.000 4.956
Nd 3.266 5.657 1.652
Se 0.000 0.000 0.000
Se 0.000 0.000 3.304
Se -1.739 3.012 4.956
Se -2.738 4.743 1.652
Se 3.478 0.000 4.956
Se 1.739 3.012 1.652
Se 5.477 0.000 1.652
Se 2.738 4.743 4.956
CELL_PARAMETERS angstrom
8.955 0.000 0.000
-4.477 7.755 0.000
0.000 0.000 6.608
! - magnetization (μB per atom) = 0.0000
! - space-group type = P6_3/mcm
! - ΔE_f (raw) (eV per atom) = -1.436

! AlCu5Pd8 PBE-GGA relaxed; values from VASP
&SYSTEM
  ibrav = 0, nat = 14, ntyp = 3
/
ATOMIC_SPECIES
Al 26.98 Al.upf
Cu 63.55 Cu.upf
Pd 106.42 Pd.upf
ATOMIC_POSITIONS angstrom
Al 0.000 0.000 0.000
Cu 2.842 1.514 -1.278
Cu 3.676 0.000 1.920
Cu 2.162 -0.834 5.118
Cu 0.834 2.162 2.561
Cu 1.514 4.510 1.278
Pd 5.052 0.690 -0.033
Pd 1.242 -0.499 2.597
Pd 0.690 2.300 0.033
Pd 2.435 4.175 -1.242
Pd 3.178 2.435 1.242
Pd 2.986 1.376 3.872
Pd 0.499 1.242 5.082
Pd -1.376 2.986 3.806
CELL_PARAMETERS angstrom
-3.676 3.676 3.839
3.676 -3.676 3.839
3.676 3.676 -3.839
! - formation energy from the elements (meV per atom) = -109.5
! - magnetization (μB per atom) = 0.0000
! - space-group type = I-4

! Dy8Cu2Te PBE-GGA relaxed; values from VASP
&SYSTEM
  ibrav = 0, nat = 11, ntyp = 3
/
ATOMIC_SPECIES
Dy 162.50 Dy.upf
Cu 63.55 Cu.upf
Te 127.60 Te.upf
ATOMIC_POSITIONS angstrom
Dy 0.870 1.649 3.229
Dy 4.269 3.388 0.000
Dy 0.870 -1.649 3.229
Dy 3.103 0.000 1.081
Dy 3.967 0.000 4.287
Dy 6.201 1.649 2.140
Dy 4.269 -3.388 0.000
Dy 6.201 -1.649 2.140
Cu 3.535 2.590 2.684
Cu 3.535 -2.590 2.684
Te 0.000 0.000 0.000
CELL_PARAMETERS angstrom
4.269 -6.625 0.000
4.269 6.625 0.000
-1.468 0.000 5.369
! - magnetization (μB per atom) = 0.0000
! - space-group type = C2/m
! - ΔE_f (raw) (eV per atom) = -0.172

! AcPr2Ho PBE-GGA relaxed; values from VASP
&SYSTEM
  ibrav = 0, nat = 8, ntyp = 3
/
ATOMIC_SPECIES
Ac 227.00 Ac.upf
Pr 140.91 Pr.upf
Ho 164.93 Ho.upf
ATOMIC_POSITIONS angstrom
Ac 0.000 0.000 0.000
Ac 3.711 5.223 0.000
Pr 1.855 2.611 1.886
Pr 1.855 7.834 1.886
Pr 5.566 2.611 1.886
Pr 5.566 7.834 1.886
Ho 0.000 5.223 0.000
Ho 3.711 0.000 0.000
CELL_PARAMETERS angstrom
7.422 0.000 0.000
0.000 10.445 0.000
0.000 0.000 3.772
! - formation energy from the elements (meV per atom) = 23.0
! - magnetization (μB per atom) = 0.0000
! - space-group type = Cmmm
! - ΔE to the lowest computed polymorph (meV/atom) = 0

! LiMo2Cl PBE-GGA relaxed; values from VASP
&SYSTEM
  ibrav = 0, nat = 16, ntyp = 3
/
ATOMIC_SPECIES
Li 6.94 Li.upf
Mo 95.94 Mo.upf
Cl 35.45 Cl.upf
ATOMIC_POSITIONS angstrom
Li 0.000 0.000 0.000
Li 0.000 3.126 3.126
Li 3.126 0.000 3.126
Li 3.126 3.126 0.000
Mo 0.000 0.000 3.126
Mo 0.000 3.126 0.000
Mo 1.563 1.563 4.689
Mo 1.563 4.689 1.563
Mo 3.126 0.000 0.000
Mo 3.126 3.126 3.126
Mo 4.689 1.563 1.563
Mo 4.689 4.689 4.689
Cl 1.563 1.563 1.563
Cl 1.563 4.689 4.689
Cl 4.689 1.563 4.689
Cl 4.689 4.689 1.563
CELL_PARAMETERS angstrom
6.251 0.000 0.000
0.000 6.251 0.000
0.000 0.000 6.251
! - magnetization (μB per atom) = 0.0000
! - space-group type = F-43m
! - ΔE_f (raw) (eV per atom) = 0.672
! - ΔE to the lowest computed polymorph (meV/atom) = 774

! LiLuMgCo PBE-GGA relaxed; values from VASP
&SYSTEM
  ibrav = 0, nat = 16, ntyp = 4
/
ATOMIC_SPECIES
Li 6.94 Li.upf
Lu 174.97 Lu.upf
Mg 24.30 Mg.upf
Co 58.93 Co.upf
ATOMIC_POSITIONS angstrom
Li 0.000 0.000 0.000
Li 0.000 3.272 3.272
Li 3.272 0.000 3.272
Li 3.272 3.272 0.000
Lu 1.636 1.636 4.908
Lu 1.636 4.908 1.636
Lu 4.908 1.636 1.636
Lu 4.908 4.908 4.908
Mg 1.636 1.636 1.636
Mg 1.636 4.908 4.908
Mg 4.908 1.636 4.908
Mg 4.908 4.908 1.636
Co 0.000 0.000 3.272
Co 0.000 3.272 0.000
Co 3.272 0.000 0.000
Co 3.272 3.272 3.272
CELL_PARAMETERS angstrom
6.545 0.000 0.000
0.000 6.545 0.000
0.000 0.000 6.545
! - formation energy from the elements (meV per atom) = -15.4
! - magnetization (μB per atom) = 0.0000
! - space-group type = F-43m

! K3Ag2AuBr9 PBE-GGA relaxed; values from VASP
&SYSTEM
  ibrav = 0, nat = 15, ntyp = 4
/
ATOMIC_SPECIES
K 39.10 K.upf
Ag 107.87 Ag.upf
Au 196.97 Au.upf
Br 79.90 Br.upf
ATOMIC_POSITIONS angstrom
K 0.000 0.000 0.000
K 0.000 4.416 6.469
K 3.824 2.208 2.909
Ag 0.000 4.416 1.579
Ag 3.824 2.208 7.800
Au 0.000 0.000 4.689
Br -1.912 3.312 0.000
Br 0.000 2.182 3.153
Br -1.934 5.532 3.153
Br 1.890 1.091 6.225
Br 3.824 0.000 0.000
Br 1.912 3.312 0.000
Br 1.934 5.532 3.153
Br 5.758 1.091 6.225
Br 3.824 4.441 6.225
CELL_PARAMETERS angstrom
7.648 0.000 0.000
-3.824 6.623 0.000
0.000 0.000 9.379
! - magnetization (μB per atom) = 0.0000
! - space-group type = P-3m1
! - ΔE_f (raw) (eV per atom) = -0.816

Q: Which formula does entry 6 have?
A: LiMo2Cl

Q: What is the magnetization in the fourth record?
A: 0.0000 μB per atom